This record from Alexandria via LeMat-Bulk describes an optimized crystal structure of La2BePt6Rh. The functional is PBE-GGA.

Cell and atoms, written as POSCAR:
```
La2BePt6Rh
1.0
2.848 1.644 6.898
-2.848 1.644 6.898
0.000 -3.288 6.898
La Be Pt Rh
2 1 6 1
Direct
0.212 0.212 0.212
0.788 0.788 0.788
0.000 0.000 0.000
0.237 0.237 0.718
0.237 0.718 0.237
0.282 0.763 0.763
0.718 0.237 0.237
0.763 0.282 0.763
0.763 0.763 0.282
0.500 0.500 0.500
```

Values from the calculation:
DFT formation energy, eV/atom: -0.706
Space group: R-3m
Density of states at the Fermi level, states/eV per cell: 5.66



This record from Alexandria via LeMat-Bulk describes an optimized crystal structure of LaScBe2Pt5. The functional is PBE-GGA.

Cell and atoms, written as POSCAR:
```
LaScBe2Pt5
1.0
4.084 0.000 0.000
0.000 4.084 0.000
0.000 0.000 9.916
La Sc Be Pt
1 1 2 5
Direct
0.000 0.000 0.000
0.000 0.000 0.500
0.500 0.500 0.224
0.500 0.500 0.776
0.000 0.500 0.312
0.000 0.500 0.688
0.500 0.000 0.312
0.500 0.000 0.688
0.500 0.500 0.000
```

Values from the calculation:
DFT formation energy, eV/atom: -0.804
Space group: P4/mmm
Density of states at the Fermi level, states/eV per cell: 2.69



This record from Alexandria via LeMat-Bulk describes an optimized crystal structure of La2BeSiPt6. The functional is PBE-GGA.

Cell and atoms, written as POSCAR:
```
La2BeSiPt6
1.0
5.109 -2.949 0.000
5.109 2.949 0.000
-3.382 0.000 6.225
La Be Si Pt
2 1 1 6
Direct
0.221 0.221 0.162
0.779 0.779 0.838
0.000 0.000 0.500
0.500 0.500 0.000
0.242 0.242 0.701
0.243 0.714 0.700
0.286 0.757 0.300
0.714 0.243 0.700
0.757 0.286 0.300
0.758 0.758 0.299
```

Values from the calculation:
Raw formation energy, eV/atom: -0.928
Space group: C2/m
Density of states at the Fermi level, states/eV per cell: 3.00



This record from Alexandria via LeMat-Bulk describes an optimized crystal structure of La2Be4Si3Pt. The functional is PBE-GGA.

Cell and atoms, written as POSCAR:
```
La2Be4Si3Pt
1.0
4.010 0.000 0.000
0.000 4.010 0.000
0.000 0.000 9.917
La Be Si Pt
2 4 3 1
Direct
0.000 0.500 0.242
0.500 0.000 0.758
0.000 0.000 0.000
0.000 0.500 0.628
0.500 0.000 0.372
0.500 0.500 0.000
0.000 0.500 0.873
0.500 0.000 0.127
0.500 0.500 0.500
0.000 0.000 0.500
```

Values from the calculation:
Raw formation energy, eV/atom: -0.545
Space group: P-4m2
Density of states at the Fermi level, states/eV per cell: 4.03



This record from Alexandria via LeMat-Bulk describes an optimized crystal structure of La2Be4SiPt3. The functional is PBE-GGA.

Cell and atoms, written as POSCAR:
```
La2Be4SiPt3
1.0
4.049 0.000 0.000
0.000 4.049 0.000
0.000 0.000 10.027
La Be Si Pt
2 4 1 3
Direct
0.000 0.500 0.247
0.500 0.000 0.753
0.000 0.000 0.500
0.000 0.500 0.874
0.500 0.000 0.126
0.500 0.500 0.500
0.500 0.500 0.000
0.000 0.000 0.000
0.000 0.500 0.620
0.500 0.000 0.380
```

Values from the calculation:
Raw formation energy, eV/atom: -0.714
Space group: P-4m2
Density of states at the Fermi level, states/eV per cell: 7.18



This record from Alexandria via LeMat-Bulk describes an optimized crystal structure of La2BeSi4Pt3. The functional is PBE-GGA.

Cell and atoms, written as POSCAR:
```
La2BeSi4Pt3
1.0
4.259 0.000 0.000
0.000 4.259 0.000
0.000 0.000 9.954
La Be Si Pt
2 1 4 3
Direct
0.000 0.500 0.248
0.500 0.000 0.752
0.500 0.500 0.000
0.000 0.000 0.500
0.000 0.500 0.872
0.500 0.000 0.128
0.500 0.500 0.500
0.000 0.000 0.000
0.000 0.500 0.622
0.500 0.000 0.378
```

Values from the calculation:
Raw formation energy, eV/atom: -0.977
Space group: P-4m2
Density of states at the Fermi level, states/eV per cell: 4.58



This record from Alexandria via LeMat-Bulk describes an optimized crystal structure of LaBeSiPt2. The functional is PBE-GGA.

Cell and atoms, written as POSCAR:
```
LaBeSiPt2
1.0
-2.113 2.113 5.057
2.113 -2.113 5.057
2.113 2.113 -5.057
La Be Si Pt
1 1 1 2
Direct
0.000 0.000 0.000
0.250 0.750 0.500
0.750 0.250 0.500
0.363 0.363 0.000
0.637 0.637 0.000
```

Values from the calculation:
Raw formation energy, eV/atom: -0.954
Space group: I-4m2
Density of states at the Fermi level, states/eV per cell: 4.24



This record from Alexandria via LeMat-Bulk describes an optimized crystal structure of La2Be3Si4Pt. The functional is PBE-GGA.

Cell and atoms, written as POSCAR:
```
La2Be3Si4Pt
1.0
4.082 0.000 0.000
0.000 4.082 0.000
0.000 0.000 9.935
La Be Si Pt
2 3 4 1
Direct
0.000 0.500 0.245
0.500 0.000 0.755
0.000 0.500 0.874
0.500 0.000 0.126
0.500 0.500 0.500
0.000 0.000 0.000
0.000 0.500 0.635
0.500 0.000 0.365
0.500 0.500 0.000
0.000 0.000 0.500
```

Values from the calculation:
Raw formation energy, eV/atom: -0.570
Space group: P-4m2
Density of states at the Fermi level, states/eV per cell: 3.01



This record from Alexandria via LeMat-Bulk describes an optimized crystal structure of La2Be3SnPt4. The functional is PBE-GGA.

Cell and atoms, written as POSCAR:
```
La2Be3SnPt4
1.0
4.222 0.000 0.000
0.000 4.222 0.000
0.000 0.000 10.202
La Be Sn Pt
2 3 1 4
Direct
0.000 0.500 0.237
0.500 0.000 0.763
0.000 0.500 0.892
0.500 0.000 0.108
0.500 0.500 0.500
0.000 0.000 0.500
0.000 0.000 0.000
0.000 0.500 0.658
0.500 0.000 0.342
0.500 0.500 0.000
```

Values from the calculation:
DFT formation energy, eV/atom: -0.825
Space group: P-4m2
Density of states at the Fermi level, states/eV per cell: 5.95



This record from Alexandria via LeMat-Bulk describes an optimized crystal structure of SrLaBePt2. The functional is PBE-GGA.

Cell and atoms, written as POSCAR:
```
SrLaBePt2
1.0
5.379 0.000 0.000
0.000 5.379 0.000
0.000 0.000 5.230
Sr La Be Pt
1 1 1 2
Direct
0.000 0.000 0.000
0.500 0.500 0.500
0.500 0.500 0.000
0.000 0.500 0.500
0.500 0.000 0.500
```

Values from the calculation:
DFT formation energy, eV/atom: 0.261
Space group: P4/mmm
Density of states at the Fermi level, states/eV per cell: 2.01



This record from Alexandria via LeMat-Bulk describes an optimized crystal structure of LaY2BePt. The functional is PBE-GGA.

Cell and atoms, written as POSCAR:
```
LaY2BePt
1.0
5.525 0.000 0.000
0.000 5.525 0.000
0.000 0.000 4.469
La Y Be Pt
1 2 1 1
Direct
0.000 0.000 0.000
0.000 0.500 0.000
0.500 0.000 0.000
0.000 0.000 0.500
0.500 0.500 0.500
```

Values from the calculation:
DFT formation energy, eV/atom: 1.232
Space group: P4/mmm
Density of states at the Fermi level, states/eV per cell: 3.78



This record from Alexandria via LeMat-Bulk describes an optimized crystal structure of La2Be3ZnPt12. The functional is PBE-GGA.

Cell and atoms, written as POSCAR:
```
La2Be3ZnPt12
1.0
3.989 2.303 6.050
-3.989 2.303 6.050
0.000 -4.606 6.050
La Be Zn Pt
2 3 1 12
Direct
0.113 0.113 0.113
0.887 0.887 0.887
0.000 0.500 0.500
0.500 0.000 0.500
0.500 0.500 0.000
0.500 0.500 0.500
0.117 0.628 0.628
0.148 0.148 0.603
0.148 0.603 0.148
0.372 0.372 0.883
0.372 0.883 0.372
0.397 0.852 0.852
0.603 0.148 0.148
0.628 0.117 0.628
0.628 0.628 0.117
0.852 0.397 0.852
0.852 0.852 0.397
0.883 0.372 0.372
```

Values from the calculation:
DFT formation energy, eV/atom: -0.465
Space group: R-3m
Density of states at the Fermi level, states/eV per cell: 4.78